No. 1
This record from Alexandria via LeMat-Bulk describes a crystal of MnIrW2 relaxed with PBEsol. The functional is meta-GGA SCAN.

The structure in POSCAR format:
```
MnIrW2
1.0
2.6961 0.0000 0.0000
0.0000 2.6961 0.0000
0.0000 0.0000 7.8624
Mn Ir W
1 1 2
direct
0.0000 0.0000 0.0000
0.5000 0.5000 0.2263
0.0000 0.0000 0.4735
0.5000 0.5000 0.7550
```

Output
Formation energy from the elements ... -0.04 eV/atom
Size of the total moment ... 3.01 μB per formula unit
Final energy ... -57.22 eV per atom
Offset from the most stable computed form ... 95 meV per atom

No. 2
This record from Alexandria via LeMat-Bulk describes a crystal of CsPdIN2 relaxed with PBEsol. The functional is meta-GGA SCAN.

The structure in POSCAR format:
```
CsPdIN2
1.0
4.2661 0.0000 0.0000
0.0000 4.2661 0.0000
0.0000 0.0000 7.2972
Cs Pd I N
1 1 1 2
direct
0.0000 0.0000 0.0000
0.5000 0.5000 0.5000
0.0000 0.0000 0.5000
0.0000 0.5000 0.0000
0.5000 0.0000 0.0000
```

Output
Formation energy (no corrections) ... 11.41 eV per formula unit
Size of the total moment ... 2.19 μB per formula unit
Final energy ... -22.90 eV per atom